# 1
Compound: Tb6NdSmTm2
Source: the Alexandria database
Functional: PBE
Structure: relaxed

```
Tb6NdSmTm2
1.0
-2.453 -0.464 -9.217
3.660 -7.983 0.008
-8.316 0.578 2.763
Tb Nd Sm Tm
12 2 2 4
Cartesian
-5.997 -0.508 1.568
-7.552 -1.650 -1.642
-1.112 -7.362 -8.014
0.443 -6.220 -4.804
-0.812 -7.723 -1.733
1.461 -4.583 -1.606
-6.296 -0.147 -4.712
-8.570 -3.286 -4.839
-1.761 -5.409 0.260
-1.506 -4.099 -2.699
-5.347 -2.461 -6.706
-5.603 -3.771 -3.746
-4.053 -3.024 -0.663
-3.056 -4.846 -5.783
2.689 -7.844 -2.214
-9.798 -0.026 -4.232
-4.007 -6.215 -2.223
-0.665 -2.288 0.107
-3.101 -1.655 -4.223
-6.444 -5.582 -6.553
```

Properties
- ΔH_f (0 K) (eV/atom) = 0.122
- total energy (eV per atom) = -4.499
- D(E_F) (states/eV/cell) = 29.78
- symmetry = C2/c

---

# 2
Compound: Ti13O22
Source: the Alexandria database
Functional: PBE
Structure: relaxed

```
Ti13O22
1.0
-2.589 2.180 6.911
-1.387 -7.531 0.762
12.869 -1.824 5.396
Ti O
26 44
Cartesian
-0.354 0.236 7.633
8.354 -0.191 10.009
4.126 -0.999 8.174
5.347 -2.536 10.260
2.970 0.020 5.760
7.889 -2.704 11.460
0.380 0.580 4.807
-2.268 -0.409 5.272
1.669 -2.374 6.861
6.916 -2.310 7.786
0.000 0.000 0.000
8.229 -5.089 9.645
7.789 -2.070 4.791
4.447 -3.588 6.535
0.665 -2.086 3.424
1.104 -5.106 8.279
7.224 -4.801 6.208
1.977 -4.865 5.284
-1.708 -4.942 2.402
8.514 -7.755 8.262
1.005 -4.471 1.609
3.547 -4.640 2.809
5.923 -7.195 7.310
4.767 -6.177 4.895
9.248 -7.411 5.437
0.539 -6.984 3.061
4.634 -0.642 10.053
3.359 0.740 7.622
9.071 -1.176 11.730
-1.074 1.244 5.926
-1.684 -1.163 6.996
9.970 -1.105 9.182
7.234 -1.790 9.670
1.058 -0.530 6.474
2.392 -1.792 8.669
5.907 -0.581 7.442
6.590 -4.148 10.703
0.204 -3.170 7.911
8.373 -1.444 6.780
1.987 -0.466 3.988
4.996 -2.945 8.386
3.592 -1.764 6.246
9.286 -3.677 10.347
-0.694 -1.061 4.266
8.207 -6.197 11.390
7.631 -4.128 8.011
9.565 -1.445 4.151
6.318 -2.972 5.927
2.576 -4.204 7.142
1.262 -3.047 5.059
0.686 -0.979 1.679
-0.672 -5.730 8.918
9.587 -6.115 8.804
-0.392 -3.499 2.722
5.301 -5.412 6.824
3.897 -4.231 4.684
8.690 -4.005 5.159
2.304 -3.027 2.366
6.907 -6.710 9.081
0.521 -5.732 6.289
6.501 -5.383 4.401
2.986 -6.595 5.628
7.835 -6.645 6.596
1.659 -5.385 3.399
10.577 -6.013 6.074
-1.077 -6.071 3.888
9.967 -8.419 7.144
-0.178 -5.999 1.339
5.534 -7.915 5.448
4.259 -6.533 3.016
```

Properties
- total energy (eV per atom) = -8.991
- D(E_F) (states/eV/cell) = 28.51
- ΔE_f (raw) (meV/atom) = -2942
- symmetry = Cmce

---

# 3
Compound: BaTiRu2
Source: the Alexandria database
Functional: PBE
Structure: relaxed

```
BaTiRu2
1.0
5.131 0.000 0.000
0.000 5.131 0.000
2.566 2.566 8.088
Ru Ba Ti
4 2 2
Cartesian
2.570 1.283 2.022
2.561 3.849 2.022
3.849 5.127 6.066
6.414 5.136 6.066
0.000 0.000 0.000
5.131 2.566 4.044
2.566 2.566 0.000
2.566 5.131 4.044
```

Properties
- ΔH_f (0 K) (eV/atom) = 0.528
- total energy (eV per atom) = -6.564
- D(E_F) (states/eV/cell) = 11.15
- ΔE to the lowest computed polymorph (eV/atom) = 0.000
- symmetry = I4_1/amd

---

# 4
Compound: HoTh2Al9
Source: the Alexandria database
Functional: PBE
Structure: relaxed

```
HoTh2Al9
1.0
-3.546 3.097 3.116
-4.526 2.375 -2.397
-7.455 -5.440 2.037
Ho Th Al
1 2 9
Cartesian
0.000 0.000 0.000
-10.111 2.365 1.488
-5.418 -2.333 1.268
-5.405 3.613 0.488
-10.123 -3.581 2.268
-7.764 0.016 1.378
-5.188 0.920 0.802
-6.997 2.500 2.391
-7.497 2.132 -0.421
-10.340 -0.888 1.954
-8.031 -2.100 3.177
-8.531 -2.468 0.364
```

Properties
- ΔH_f (0 K) (eV/atom) = -0.303
- total energy (eV per atom) = -4.728
- D(E_F) (states/eV/cell) = 7.09
- symmetry = R-3m

---

# 5
Compound: TbCd2In
Source: the Alexandria database
Functional: PBE
Structure: relaxed

```
TbCd2In
1.0
-4.967 -1.385 0.291
-1.601 -4.363 -2.253
-1.388 -4.044 2.897
Cd Tb In
2 1 1
Cartesian
-1.989 -2.448 0.234
-5.967 -7.343 0.702
0.000 0.000 0.000
-3.978 -4.895 0.468
```

Properties
- ΔH_f (0 K) (eV/atom) = -0.235
- total energy (eV per atom) = -2.535
- D(E_F) (states/eV/cell) = 1.28
- ΔE to the lowest computed polymorph (eV/atom) = 0.092
- symmetry = Fm-3m

---

# 6
Compound: ReRh
Source: the Alexandria database
Functional: PBE
Structure: relaxed

```
ReRh
1.0
-4.569 5.916 -1.360
-6.364 2.429 -3.364
-6.911 3.002 0.968
Re Rh
4 4
Cartesian
-9.925 6.311 -2.090
-7.919 5.036 -1.667
-3.520 2.239 -0.741
-14.324 9.108 -3.016
-5.732 3.645 -1.207
-1.203 0.765 -0.253
-16.642 10.582 -3.504
-12.113 7.702 -2.550
```

Properties
- ΔH_f (0 K) (eV/atom) = 0.241
- total energy (eV per atom) = -9.659
- D(E_F) (states/eV/cell) = 8.64
- ΔE to the lowest computed polymorph (eV/atom) = 0.418
- symmetry = R-3m